# Ba8AsS3I4 PBE optimized geometry
data_Ba8AsS3I4
_chemical_formula_sum 'Ba24 As3 S9 I12'
_symmetry_space_group_name_H-M 'R -3 m'
_symmetry_Int_Tables_number 166
_symmetry_space_group_name_Hall '-R 3 2"'
_cell_length_a 9.3776
_cell_length_b 9.3776
_cell_length_c 24.6608
_cell_angle_alpha 90.00
_cell_angle_beta 90.00
_cell_angle_gamma 120.00
loop_
_atom_site_label
_atom_site_type_symbol
_atom_site_fract_x
_atom_site_fract_y
_atom_site_fract_z
Ba1 Ba 0.0000 0.0000 0.2347
Ba2 Ba 0.0022 0.5011 0.7643
As1 As 0.0000 0.0000 0.5000
S1 S 0.0000 0.5000 0.5000
I1 I 0.0000 0.0000 0.0000
I2 I 0.0000 0.5000 0.0000
# - Magnetization: 0.0000 μB/atom


# CeTlCdIn PBE optimized geometry
data_CeTlCdIn
_chemical_formula_sum 'Ce4 Tl4 Cd4 In4'
_symmetry_space_group_name_H-M 'F -4 3 m'
_symmetry_Int_Tables_number 216
_symmetry_space_group_name_Hall 'F -4 2 3'
_cell_length_a 7.503
_cell_length_b 7.503
_cell_length_c 7.503
_cell_angle_alpha 90.00
_cell_angle_beta 90.00
_cell_angle_gamma 90.00
loop_
_atom_site_label
_atom_site_type_symbol
_atom_site_fract_x
_atom_site_fract_y
_atom_site_fract_z
Ce1 Ce 0.000 0.000 0.000
Tl1 Tl 0.250 0.250 0.750
Cd1 Cd 0.000 0.000 0.500
In1 In 0.250 0.250 0.250
# - Magnetization: 0.1992 μB/atom
# - ΔE_f: -0.18 eV/atom
# - Energy above the lowest structure with this stoichiometry: 80.2 meV/atom


# Ag2Br2F PBE optimized geometry
data_Ag2Br2F
_chemical_formula_sum 'Ag4 Br4 F2'
_symmetry_space_group_name_H-M 'P 4/m b m'
_symmetry_Int_Tables_number 127
_symmetry_space_group_name_Hall '-P 4 2ab'
_cell_length_a 6.983
_cell_length_b 6.983
_cell_length_c 4.249
_cell_angle_alpha 90.00
_cell_angle_beta 90.00
_cell_angle_gamma 90.00
loop_
_atom_site_label
_atom_site_type_symbol
_atom_site_fract_x
_atom_site_fract_y
_atom_site_fract_z
Ag1 Ag 0.169 0.331 0.000
Br1 Br 0.156 0.656 0.500
F1 F 0.000 0.000 0.000
# - Magnetization: 0.0000 μB/atom
# - Energy above the lowest structure with this stoichiometry: 210.6 meV/atom


# Mg2VCuAu PBE optimized geometry
data_Mg2VCuAu
_chemical_formula_sum 'Mg2 V1 Cu1 Au1'
_symmetry_space_group_name_H-M 'P 4/m m m'
_symmetry_Int_Tables_number 123
_symmetry_space_group_name_Hall '-P 4 2'
_cell_length_a 4.995
_cell_length_b 4.995
_cell_length_c 4.954
_cell_angle_alpha 90.00
_cell_angle_beta 90.00
_cell_angle_gamma 90.00
loop_
_atom_site_label
_atom_site_type_symbol
_atom_site_fract_x
_atom_site_fract_y
_atom_site_fract_z
Mg1 Mg 0.000 0.500 0.000
V1 V 0.000 0.000 0.500
Cu1 Cu 0.500 0.500 0.500
Au1 Au 0.000 0.000 0.000
# - Magnetization: 0.5514 μB/atom
# - ΔE_f: 0.65 eV/atom


# La7Pr4Er PBE optimized geometry
data_La7Pr4Er
_chemical_formula_sum 'La14 Pr8 Er2'
_symmetry_space_group_name_H-M 'C 1 2/m 1'
_symmetry_Int_Tables_number 12
_cell_length_a 17.062
_cell_length_b 6.166
_cell_length_c 9.812
_cell_angle_alpha 90.00
_cell_angle_beta 122.51
_cell_angle_gamma 90.00
loop_
_symmetry_equiv_pos_as_xyz
'x,y,z'
'-x,-y,-z'
'-x,y,-z'
'x,-y,z'
'x+1/2,y+1/2,z'
'-x+1/2,-y+1/2,-z'
'-x+1/2,y+1/2,-z'
'x+1/2,-y+1/2,z'
loop_
_atom_site_label
_atom_site_type_symbol
_atom_site_fract_x
_atom_site_fract_y
_atom_site_fract_z
La1 La 0.000 0.000 0.000
La2 La 0.076 0.500 0.423
La3 La 0.184 0.500 0.896
La4 La 0.231 0.000 0.685
Pr1 Pr 0.044 0.000 0.721
Pr2 Pr 0.188 0.000 0.317
Er1 Er 0.000 0.500 0.000
# - Magnetization: 0.0000 μB/atom
# - ΔE_f: 0.21 eV/atom
# - Energy above the lowest structure with this stoichiometry: 192.3 meV/atom


# Zn3ReTe PBE optimized geometry
data_Zn3ReTe
_chemical_formula_sum 'Zn3 Re1 Te1'
_symmetry_space_group_name_H-M 'P m -3 m'
_symmetry_Int_Tables_number 221
_symmetry_space_group_name_Hall '-P 4 2 3'
_cell_length_a 4.943
_cell_length_b 4.943
_cell_length_c 4.943
_cell_angle_alpha 90.00
_cell_angle_beta 90.00
_cell_angle_gamma 90.00
loop_
_atom_site_label
_atom_site_type_symbol
_atom_site_fract_x
_atom_site_fract_y
_atom_site_fract_z
Zn1 Zn 0.000 0.000 0.500
Re1 Re 0.000 0.000 0.000
Te1 Te 0.500 0.500 0.500
# - Magnetization: 0.4569 μB/atom
# - Energy above the lowest structure with this stoichiometry: 0.0 meV/atom


# KMnCr2 PBE optimized geometry
data_KMnCr2
_chemical_formula_sum 'K1 Mn1 Cr2'
_symmetry_space_group_name_H-M 'P 4/m m m'
_symmetry_Int_Tables_number 123
_symmetry_space_group_name_Hall '-P 4 2'
_cell_length_a 4.655
_cell_length_b 4.655
_cell_length_c 4.422
_cell_angle_alpha 90.00
_cell_angle_beta 90.00
_cell_angle_gamma 90.00
loop_
_atom_site_label
_atom_site_type_symbol
_atom_site_fract_x
_atom_site_fract_y
_atom_site_fract_z
K1 K 0.000 0.000 0.000
Mn1 Mn 0.500 0.500 0.000
Cr1 Cr 0.000 0.500 0.500
# - Magnetization: 3.4167 μB/atom
# - ΔE_f: 1.58 eV/atom
# - Energy above the lowest structure with this stoichiometry: 814.1 meV/atom


# Sc2Si2Ni PBE optimized geometry
data_Sc2Si2Ni
_chemical_formula_sum 'Sc4 Si4 Ni2'
_symmetry_space_group_name_H-M 'P 4/m b m'
_symmetry_Int_Tables_number 127
_symmetry_space_group_name_Hall '-P 4 2ab'
_cell_length_a 6.163
_cell_length_b 6.163
_cell_length_c 4.236
_cell_angle_alpha 90.00
_cell_angle_beta 90.00
_cell_angle_gamma 90.00
loop_
_atom_site_label
_atom_site_type_symbol
_atom_site_fract_x
_atom_site_fract_y
_atom_site_fract_z
Sc1 Sc 0.170 0.330 0.000
Si1 Si 0.140 0.640 0.500
Ni1 Ni 0.000 0.000 0.500
# - Magnetization: 0.0000 μB/atom


# LiSbF3 PBE optimized geometry
data_LiSbF3
_chemical_formula_sum 'Li1 Sb1 F3'
_symmetry_space_group_name_H-M 'P m -3 m'
_symmetry_Int_Tables_number 221
_symmetry_space_group_name_Hall '-P 4 2 3'
_cell_length_a 4.639
_cell_length_b 4.639
_cell_length_c 4.639
_cell_angle_alpha 90.00
_cell_angle_beta 90.00
_cell_angle_gamma 90.00
loop_
_atom_site_label
_atom_site_type_symbol
_atom_site_fract_x
_atom_site_fract_y
_atom_site_fract_z
Li1 Li 0.000 0.000 0.000
Sb1 Sb 0.500 0.500 0.500
F1 F 0.000 0.500 0.500
# - Magnetization: 0.0000 μB/atom
# - Energy above the lowest structure with this stoichiometry: 288.1 meV/atom


# AgSn2S PBE optimized geometry
data_AgSn2S
_chemical_formula_sum 'Ag3 Sn6 S3'
_symmetry_space_group_name_H-M 'R -3 m'
_symmetry_Int_Tables_number 166
_symmetry_space_group_name_Hall '-R 3 2"'
_cell_length_a 3.4406
_cell_length_b 3.4406
_cell_length_c 28.9325
_cell_angle_alpha 90.00
_cell_angle_beta 90.00
_cell_angle_gamma 120.00
loop_
_atom_site_label
_atom_site_type_symbol
_atom_site_fract_x
_atom_site_fract_y
_atom_site_fract_z
Ag1 Ag 0.0000 0.0000 0.0000
Sn1 Sn 0.0000 0.0000 0.0990
S1 S 0.0000 0.0000 0.5000
# - Magnetization: 0.0000 μB/atom


# Y2NiH PBE optimized geometry
data_Y2NiH
_chemical_formula_sum 'Y6 Ni3 H3'
_symmetry_space_group_name_H-M 'R -3 m'
_symmetry_Int_Tables_number 166
_symmetry_space_group_name_Hall '-R 3 2"'
_cell_length_a 3.8222
_cell_length_b 3.8222
_cell_length_c 18.0141
_cell_angle_alpha 90.00
_cell_angle_beta 90.00
_cell_angle_gamma 120.00
loop_
_atom_site_label
_atom_site_type_symbol
_atom_site_fract_x
_atom_site_fract_y
_atom_site_fract_z
Y1 Y 0.0000 0.0000 0.2443
Ni1 Ni 0.0000 0.0000 0.0000
H1 H 0.0000 0.0000 0.5000
# - Magnetization: 0.0000 μB/atom
# - Energy above the lowest structure with this stoichiometry: 0.0 meV/atom


# Pr6Sb3TeSe2 PBE optimized geometry
data_Pr6Sb3TeSe2
_chemical_formula_sum 'Pr12 Sb6 Te2 Se4'
_symmetry_space_group_name_H-M 'C 1 2/m 1'
_symmetry_Int_Tables_number 12
_cell_length_a 19.446
_cell_length_b 4.472
_cell_length_c 8.913
_cell_angle_alpha 90.00
_cell_angle_beta 103.02
_cell_angle_gamma 90.00
loop_
_symmetry_equiv_pos_as_xyz
'x,y,z'
'-x,-y,-z'
'-x,y,-z'
'x,-y,z'
'x+1/2,y+1/2,z'
'-x+1/2,-y+1/2,-z'
'-x+1/2,y+1/2,-z'
'x+1/2,-y+1/2,z'
loop_
_atom_site_label
_atom_site_type_symbol
_atom_site_fract_x
_atom_site_fract_y
_atom_site_fract_z
Pr1 Pr 0.005 0.000 0.258
Pr2 Pr 0.169 0.500 0.579
Pr3 Pr 0.171 0.500 0.092
Sb1 Sb 0.000 0.500 0.500
Sb2 Sb 0.164 0.000 0.832
Te1 Te 0.000 0.500 0.000
Se1 Se 0.168 0.000 0.334
# - Magnetization: 0.0000 μB/atom


# Ac2Zn4Si3Sn PBE optimized geometry
data_Ac2Zn4Si3Sn
_chemical_formula_sum 'Ac2 Zn4 Si3 Sn1'
_symmetry_space_group_name_H-M 'P -4 m 2'
_symmetry_Int_Tables_number 115
_cell_length_a 4.584
_cell_length_b 4.584
_cell_length_c 10.128
_cell_angle_alpha 90.00
_cell_angle_beta 90.00
_cell_angle_gamma 90.00
loop_
_symmetry_equiv_pos_as_xyz
'x,y,z'
'y,-x,-z'
'-x,-y,z'
'-y,x,-z'
'-x,y,z'
'-y,-x,-z'
'x,-y,z'
'y,x,-z'
loop_
_atom_site_label
_atom_site_type_symbol
_atom_site_fract_x
_atom_site_fract_y
_atom_site_fract_z
Ac1 Ac 0.000 0.500 0.241
Zn1 Zn 0.000 0.000 0.000
Zn2 Zn 0.000 0.500 0.637
Zn3 Zn 0.500 0.500 0.000
Si1 Si 0.000 0.500 0.877
Si2 Si 0.500 0.500 0.500
Sn1 Sn 0.000 0.000 0.500
# - Magnetization: 0.0000 μB/atom


# Y2PdS PBE optimized geometry
data_Y2PdS
_chemical_formula_sum 'Y6 Pd3 S3'
_symmetry_space_group_name_H-M 'R -3 m'
_symmetry_Int_Tables_number 166
_symmetry_space_group_name_Hall '-R 3 2"'
_cell_length_a 3.6334
_cell_length_b 3.6334
_cell_length_c 25.9457
_cell_angle_alpha 90.00
_cell_angle_beta 90.00
_cell_angle_gamma 120.00
loop_
_atom_site_label
_atom_site_type_symbol
_atom_site_fract_x
_atom_site_fract_y
_atom_site_fract_z
Y1 Y 0.0000 0.0000 0.1015
Pd1 Pd 0.0000 0.0000 0.0000
S1 S 0.0000 0.0000 0.5000
# - Magnetization: 0.0000 μB/atom


# SrCrIr2 PBE optimized geometry
data_SrCrIr2
_chemical_formula_sum 'Sr1 Cr1 Ir2'
_symmetry_space_group_name_H-M 'P m m m'
_symmetry_Int_Tables_number 47
_cell_length_a 3.035
_cell_length_b 4.775
_cell_length_c 4.951
_cell_angle_alpha 90.00
_cell_angle_beta 90.00
_cell_angle_gamma 90.00
loop_
_symmetry_equiv_pos_as_xyz
'x,y,z'
'-x,-y,-z'
'-x,-y,z'
'x,y,-z'
'x,-y,-z'
'-x,y,z'
'-x,y,-z'
'x,-y,z'
loop_
_atom_site_label
_atom_site_type_symbol
_atom_site_fract_x
_atom_site_fract_y
_atom_site_fract_z
Sr1 Sr 0.000 0.000 0.000
Cr1 Cr 0.500 0.000 0.500
Ir1 Ir 0.000 0.500 0.500
Ir2 Ir 0.500 0.500 0.000
# - Magnetization: 1.0204 μB/atom
# - ΔE_f: 0.61 eV/atom
# - Energy above the lowest structure with this stoichiometry: 583.4 meV/atom


# KAgB2Se4 PBE optimized geometry
data_KAgB2Se4
_chemical_formula_sum 'K2 Ag2 B4 Se8'
_symmetry_space_group_name_H-M 'I 2 2 2'
_symmetry_Int_Tables_number 23
_cell_length_a 6.136
_cell_length_b 8.933
_cell_length_c 9.009
_cell_angle_alpha 90.00
_cell_angle_beta 90.00
_cell_angle_gamma 90.00
loop_
_symmetry_equiv_pos_as_xyz
'x,y,z'
'-x,-y,z'
'x,-y,-z'
'-x,y,-z'
'x+1/2,y+1/2,z+1/2'
'-x+1/2,-y+1/2,z+1/2'
'x+1/2,-y+1/2,-z+1/2'
'-x+1/2,y+1/2,-z+1/2'
loop_
_atom_site_label
_atom_site_type_symbol
_atom_site_fract_x
_atom_site_fract_y
_atom_site_fract_z
K1 K 0.000 0.000 0.000
Ag1 Ag 0.000 0.000 0.500
B1 B 0.000 0.500 0.190
Se1 Se 0.220 0.363 0.804
# - Magnetization: 0.0000 μB/atom


# TcSeN2 PBE optimized geometry
data_TcSeN2
_chemical_formula_sum 'Tc3 Se3 N6'
_symmetry_space_group_name_H-M 'R -3 m'
_symmetry_Int_Tables_number 166
_symmetry_space_group_name_Hall '-R 3 2"'
_cell_length_a 2.9274
_cell_length_b 2.9274
_cell_length_c 19.7472
_cell_angle_alpha 90.00
_cell_angle_beta 90.00
_cell_angle_gamma 120.00
loop_
_atom_site_label
_atom_site_type_symbol
_atom_site_fract_x
_atom_site_fract_y
_atom_site_fract_z
Tc1 Tc 0.0000 0.0000 0.0000
Se1 Se 0.0000 0.0000 0.5000
N1 N 0.0000 0.0000 0.3948
# - Magnetization: 0.0000 μB/atom


# ScV2TeIr PBE optimized geometry
data_ScV2TeIr
_chemical_formula_sum 'Sc1 V2 Te1 Ir1'
_symmetry_space_group_name_H-M 'P 4/m m m'
_symmetry_Int_Tables_number 123
_symmetry_space_group_name_Hall '-P 4 2'
_cell_length_a 4.375
_cell_length_b 4.375
_cell_length_c 5.114
_cell_angle_alpha 90.00
_cell_angle_beta 90.00
_cell_angle_gamma 90.00
loop_
_atom_site_label
_atom_site_type_symbol
_atom_site_fract_x
_atom_site_fract_y
_atom_site_fract_z
Sc1 Sc 0.000 0.000 0.000
V1 V 0.000 0.500 0.000
Te1 Te 0.000 0.000 0.500
Ir1 Ir 0.500 0.500 0.500
# - Magnetization: 0.3860 μB/atom


# EuGdIn PBE optimized geometry
data_EuGdIn
_chemical_formula_sum 'Eu2 Gd2 In2'
_symmetry_space_group_name_H-M 'I 4 m m'
_symmetry_Int_Tables_number 107
_symmetry_space_group_name_Hall 'I 4 -2'
_cell_length_a 3.836
_cell_length_b 3.836
_cell_length_c 13.294
_cell_angle_alpha 90.00
_cell_angle_beta 90.00
_cell_angle_gamma 90.00
loop_
_atom_site_label
_atom_site_type_symbol
_atom_site_fract_x
_atom_site_fract_y
_atom_site_fract_z
Eu1 Eu 0.000 0.000 0.000
Gd1 Gd 0.000 0.000 0.709
In1 In 0.000 0.000 0.343
# - Magnetization: 0.0284 μB/atom
# - ΔE_f: -0.26 eV/atom
# - Energy above the lowest structure with this stoichiometry: 0.0 meV/atom


# NdBeFe2Si2 PBE optimized geometry
data_NdBeFe2Si2
_chemical_formula_sum 'Nd1 Be1 Fe2 Si2'
_symmetry_space_group_name_H-M 'P 4/m m m'
_symmetry_Int_Tables_number 123
_symmetry_space_group_name_Hall '-P 4 2'
_cell_length_a 4.012
_cell_length_b 4.012
_cell_length_c 5.321
_cell_angle_alpha 90.00
_cell_angle_beta 90.00
_cell_angle_gamma 90.00
loop_
_atom_site_label
_atom_site_type_symbol
_atom_site_fract_x
_atom_site_fract_y
_atom_site_fract_z
Nd1 Nd 0.000 0.000 0.000
Be1 Be 0.000 0.000 0.500
Fe1 Fe 0.000 0.500 0.500
Si1 Si 0.500 0.500 0.252
# - Magnetization: 0.0000 μB/atom


Q: Which calculated volume values were calculated for the entries above? A: 39.1, 26.4, 20.7, 24.7, 36.3, 24.2, 23.9, 16.1, 20.0, 24.7, 19.0, 31.5, 21.3, 24.7, 17.9, 30.9, 12.2, 19.6, 32.6, 14.3, in A^3/atom.
Q: Which E_tot values were calculated for the entries above? A: -195.919, -50.757, -25.092, -16.447, -111.340, -14.650, -23.194, -66.624, -20.138, -43.806, -69.689, -137.419, -37.003, -76.088, -26.593, -66.211, -85.509, -28.632, -55.754, -38.666, in eV for the cell shown.